Material: MgPbAu6
Method: DFT, PBE
State: optimized geometry

Cell: 4.218 4.218 8.708 Å, 90.00 90.00 90.00°
Atoms (fractional coordinates):
Mg  0.000  0.000  0.500
Pb  0.000  0.000  0.000
Au  0.500  0.500  0.000
Au  0.500  0.500  0.500
Au  0.500  0.000  0.269
Au  0.500  0.000  0.731
Au  0.000  0.500  0.269
Au  0.000  0.500  0.731

Properties
The value obtained for the formation energy is -15 kJ per mole of atoms.